# 1
A crystal of ZnPbSe2 relaxed with PBEsol, computed with meta-GGA SCAN.

Its final energy is -262.723 eV per cell. The value obtained for the size of the total moment is 0.0 μB/cell.

It has space group Cm (No. 8), with a = 11.727 Å, b = 4.026 Å, c = 4.545 Å, α = 90.00°, β = 92.37° and γ = 90.00°. The inequivalent atoms are Zn at (0.000, 0.000, 0.000), Pb at (0.201, 0.500, 0.690), Se at (0.184, 0.000, 0.233) and Se at (0.446, 0.000, 0.739).

=====

# 2
A crystal of ZrPbSe2 relaxed with PBEsol, computed with meta-GGA SCAN.

Its final energy is -452.974 eV per cell. The value obtained for the size of the total moment is 0.0 μB/cell.

It has space group R-3m (No. 166, hexagonal axes), with a = 3.6187 Å, b = 3.6187 Å, c = 27.9192 Å, α = 90.00°, β = 90.00° and γ = 120.00°. The inequivalent atoms are Zr at (0.0000, 0.0000, 0.0000), Pb at (0.0000, 0.0000, 0.5000) and Se at (0.0000, 0.0000, 0.3929).

=====

# 3
A crystal of ZrPbSe2 relaxed with PBEsol, computed with meta-GGA SCAN.

Its final energy is -149.595 eV per cell. The value obtained for the size of the total moment is 0.0 μB/cell.

It has space group P4mm (No. 99), with a = 3.679 Å, b = 3.679 Å, c = 7.857 Å, α = 90.00°, β = 90.00° and γ = 90.00°. The inequivalent atoms are Zr at (0.000, 0.000, 0.000), Pb at (0.500, 0.500, 0.476), Se at (0.000, 0.000, 0.683) and Se at (0.500, 0.500, 0.074).

=====

# 4
A crystal of Si2Pb relaxed with PBEsol, computed with meta-GGA SCAN.

Its final energy is -186.107 eV per cell. The value obtained for the size of the total moment is 0.0 μB/cell. The energy above the most stable polymorph in this dataset is 0.459 eV/atom.

It has space group P6_3/mmc (No. 194), with a = 5.0200 Å, b = 5.0200 Å, c = 5.6469 Å, α = 90.00°, β = 90.00° and γ = 120.00°. The inequivalent atoms are Si at (0.0000, 0.0000, 0.0000), Si at (0.3333, 0.6667, 0.2500) and Pb at (0.3333, 0.6667, 0.7500).

=====

no.,formation energy without anion corrections (meV per atom)
1,-477
2,-1089
3,-740
4,920